[1]
Material: LaTa2Ni
Method: DFT, SCAN
State: single point on PBEsol structure

a b c (Å): 9.5444 2.9965 5.7606
angles (deg): 90.00 102.81 90.00
Space group Cm (No. 8)
Asymmetric unit:
La 0.0000 0.0000 0.0000 [2 per cell]
Ta 0.0390 0.5000 0.5314 [2 per cell]
Ta 0.2948 0.5000 0.3631 [2 per cell]
Ni 0.2521 0.0000 0.7127 [2 per cell]

Values from the calculation:
* energy above the lowest structure with this stoichiometry: 0.235 eV/atom
* energy of formation from the pure elements: 386 meV per atom
* calculated volume: 20.1 Å³/atom
* total energy: -381.8 eV per cell
* total magnetization: 0.0 μB per formula unit

[2]
Material: LaTa2Ni
Method: DFT, SCAN
State: single point on PBEsol structure

a b c (Å): 3.0997 3.0997 7.9850
angles (deg): 90.00 90.00 90.00
Space group P4mm (No. 99)
Asymmetric unit:
La 0.0000 0.0000 0.0000 [1 per cell]
Ta 0.0000 0.0000 0.5508 [1 per cell]
Ta 0.5000 0.5000 0.3147 [1 per cell]
Ni 0.5000 0.5000 0.7126 [1 per cell]

Values from the calculation:
* energy above the lowest structure with this stoichiometry: 0.000 eV/atom
* energy of formation from the pure elements: 151 meV per atom
* calculated volume: 19.2 Å³/atom
* total energy: -191.8 eV per cell
* total magnetization: 0.0 μB per formula unit

[3]
Material: LaTaNi2
Method: DFT, SCAN
State: single point on PBEsol structure

a b c (Å): 4.1467 4.1467 15.7006
angles (deg): 90.00 90.00 120.00
Space group R3m (No. 160, hexagonal axes)
Asymmetric unit:
La 0.0000 0.0000 0.0000 [3 per cell]
Ta 0.0000 0.0000 0.8105 [3 per cell]
Ni 0.0000 0.0000 0.2016 [3 per cell]
Ni 0.0000 0.0000 0.4981 [3 per cell]

Values from the calculation:
* energy above the lowest structure with this stoichiometry: 0.000 eV/atom
* energy of formation from the pure elements: -46 meV per atom
* calculated volume: 19.5 Å³/atom
* total energy: -426.7 eV per cell
* total magnetization: 0.0 μB per formula unit

[4]
Material: LaTaNi2
Method: DFT, SCAN
State: single point on PBEsol structure

a b c (Å): 3.8617 3.8617 8.8826
angles (deg): 90.00 90.00 90.00
Space group I-4m2 (No. 119)
Asymmetric unit:
La 0.0000 0.0000 0.0000 [2 per cell]
Ta 0.0000 0.5000 0.7500 [2 per cell]
Ni 0.0000 0.0000 0.5000 [2 per cell]
Ni 0.0000 0.5000 0.2500 [2 per cell]

Values from the calculation:
* energy above the lowest structure with this stoichiometry: 0.427 eV/atom
* energy of formation from the pure elements: 382 meV per atom
* calculated volume: 16.6 Å³/atom
* total energy: -281.0 eV per cell
* total magnetization: 0.0 μB per formula unit

[5]
Material: LaTcNi2
Method: DFT, SCAN
State: single point on PBEsol structure

a b c (Å): 4.1434 4.1434 14.7750
angles (deg): 90.00 90.00 120.00
Space group R3m (No. 160, hexagonal axes)
Asymmetric unit:
La 0.0000 0.0000 0.0000 [3 per cell]
Tc 0.0000 0.0000 0.1824 [3 per cell]
Ni 0.0000 0.0000 0.4956 [3 per cell]
Ni 0.0000 0.0000 0.8089 [3 per cell]

Values from the calculation:
* energy above the lowest structure with this stoichiometry: 0.000 eV/atom
* energy of formation from the pure elements: -82 meV per atom
* calculated volume: 18.3 Å³/atom
* total energy: -332.5 eV per cell
* total magnetization: 0.0 μB per formula unit

[6]
Material: LaTcNi2
Method: DFT, SCAN
State: single point on PBEsol structure

a b c (Å): 2.8105 3.4638 6.5185
angles (deg): 90.00 90.15 90.00
Space group P2/m (No. 10)
Asymmetric unit:
La 0.0000 0.0000 0.0000 [1 per cell]
Tc 0.0000 0.0000 0.5000 [1 per cell]
Ni 0.4995 0.5000 0.3168 [2 per cell]

Values from the calculation:
* energy above the lowest structure with this stoichiometry: 0.271 eV/atom
* energy of formation from the pure elements: 189 meV per atom
* calculated volume: 15.9 Å³/atom
* total energy: -109.8 eV per cell
* total magnetization: 0.6 μB per formula unit

[7]
Material: LaTiNi2
Method: DFT, SCAN
State: single point on PBEsol structure

a b c (Å): 6.4762 6.4762 6.4762
angles (deg): 90.00 90.00 90.00
Space group Fm-3m (No. 225)
Asymmetric unit:
La 0.0000 0.0000 0.0000 [4 per cell]
Ti 0.0000 0.0000 0.5000 [4 per cell]
Ni 0.2500 0.2500 0.2500 [8 per cell]

Values from the calculation:
* energy of formation from the pure elements: 38 meV per atom
* calculated volume: 17.0 Å³/atom
* total energy: -365.3 eV per cell
* total magnetization: 0.0 μB per formula unit

[8]
Material: LaTiNi3
Method: DFT, SCAN
State: single point on PBEsol structure

a b c (Å): 4.6002 4.6002 4.6002
angles (deg): 90.00 90.00 90.00
Space group Pm-3m (No. 221)
Asymmetric unit:
La 0.0000 0.0000 0.0000 [1 per cell]
Ti 0.5000 0.5000 0.5000 [1 per cell]
Ni 0.0000 0.0000 0.5000 [3 per cell]

Values from the calculation:
* energy of formation from the pure elements: 1287 meV per atom
* calculated volume: 19.5 Å³/atom
* total energy: -101.2 eV per cell
* total magnetization: 2.4 μB per formula unit

[9]
Material: LaTi3Ni
Method: DFT, SCAN
State: single point on PBEsol structure

a b c (Å): 4.6370 4.6370 4.6370
angles (deg): 90.00 90.00 90.00
Space group Pm-3m (No. 221)
Asymmetric unit:
La 0.0000 0.0000 0.0000 [1 per cell]
Ti 0.0000 0.5000 0.5000 [3 per cell]
Ni 0.5000 0.5000 0.5000 [1 per cell]

Values from the calculation:
* energy of formation from the pure elements: 179 meV per atom
* calculated volume: 19.9 Å³/atom
* total energy: -106.5 eV per cell
* total magnetization: 0.0 μB per formula unit

[10]
Material: La2TlNi
Method: DFT, SCAN
State: single point on PBEsol structure

a b c (Å): 3.5405 3.5400 8.0495
angles (deg): 90.00 90.08 90.00
Space group P2/m (No. 10)
Asymmetric unit:
La 0.0008 0.0000 0.2955 [2 per cell]
Tl 0.5000 0.5000 0.0000 [1 per cell]
Ni 0.5000 0.5000 0.5000 [1 per cell]

Values from the calculation:
* energy of formation from the pure elements: -403 meV per atom
* calculated volume: 25.2 Å³/atom
* total energy: -176.4 eV per cell
* total magnetization: 0.0 μB per formula unit

[11]
Material: La2TlNi
Method: DFT, SCAN
State: single point on PBEsol structure

a b c (Å): 4.9980 4.9980 4.1096
angles (deg): 90.00 90.00 90.00
Space group P4/mmm (No. 123)
Asymmetric unit:
La 0.0000 0.5000 0.0000 [2 per cell]
Tl 0.0000 0.0000 0.5000 [1 per cell]
Ni 0.5000 0.5000 0.5000 [1 per cell]

Values from the calculation:
* energy of formation from the pure elements: -263 meV per atom
* calculated volume: 25.7 Å³/atom
* total energy: -175.8 eV per cell
* total magnetization: 0.0 μB per formula unit

[12]
Material: LaTl2Ni2
Method: DFT, SCAN
State: single point on PBEsol structure

a b c (Å): 4.6039 4.6039 9.9534
angles (deg): 90.00 90.00 90.00
Space group I4/mmm (No. 139)
Asymmetric unit:
La 0.0000 0.0000 0.0000 [2 per cell]
Tl 0.0000 0.0000 0.3563 [4 per cell]
Ni 0.0000 0.5000 0.2500 [4 per cell]

Values from the calculation:
* energy of formation from the pure elements: -106 meV per atom
* calculated volume: 21.1 Å³/atom
* total energy: -441.4 eV per cell
* total magnetization: 0.0 μB per formula unit